# Ti5Nb2Tl | the Alexandria database | GGA-PBE | optimized geometry
data_Ti5Nb2Tl
_symmetry_space_group_name_H-M 'P 1'
_symmetry_Int_Tables_number 1
_cell_length_a 7.627
_cell_length_b 7.627
_cell_length_c 7.627
_cell_angle_alpha 123.91
_cell_angle_beta 123.91
_cell_angle_gamma 83.35
loop_
_symmetry_equiv_pos_as_xyz
'x,y,z'
loop_
_atom_site_label
_atom_site_type_symbol
_atom_site_fract_x
_atom_site_fract_y
_atom_site_fract_z
Ti1 Ti 0.000 0.000 0.000
Ti2 Ti 0.017 0.517 0.217
Ti3 Ti 0.200 0.983 0.500
Ti4 Ti 0.300 0.800 0.783
Ti5 Ti 0.483 0.700 0.500
Ti6 Ti 0.500 0.500 0.000
Ti7 Ti 0.517 0.300 0.500
Ti8 Ti 0.700 0.200 0.217
Ti9 Ti 0.800 0.017 0.500
Ti10 Ti 0.983 0.483 0.783
Nb1 Nb 0.160 0.340 0.500
Nb2 Nb 0.340 0.840 0.180
Nb3 Nb 0.660 0.160 0.820
Nb4 Nb 0.840 0.660 0.500
Tl1 Tl 0.250 0.250 0.000
Tl2 Tl 0.750 0.750 0.000
# Crystal system = tetragonal
# DFT formation energy = 1.11 eV/f.u.
# Magnetic moment = 0.6 μB per formula unit